1.
Density functional theory data (PBE) for crystalline RbMgPd2Pb at its relaxed geometry.

a b c (Å): 5.082 5.082 5.455
angles (deg): 90.00 90.00 90.00
Space group P4/mmm (No. 123)
Inequivalent atoms, fractional coordinates:
Rb (0.000, 0.000, 0.000) [1 per cell]
Mg (0.500, 0.500, 0.500) [1 per cell]
Pd (0.000, 0.500, 0.500) [2 per cell]
Pb (0.500, 0.500, 0.000) [1 per cell]

Summary:
D(E_F) ... 3.5 states/eV/cell
Volume ... 140.9 Å³/cell
Final energy ... -3.07 eV per atom
E_form ... 262 meV per atom

2.
Density functional theory data (PBE) for crystalline MgScPdPb at its relaxed geometry.

a b c (Å): 6.882 6.882 6.882
angles (deg): 90.00 90.00 90.00
Space group F-43m (No. 216)
Inequivalent atoms, fractional coordinates:
Mg (0.000, 0.000, 0.000) [4 per cell]
Sc (0.000, 0.000, 0.500) [4 per cell]
Pd (0.250, 0.250, 0.250) [4 per cell]
Pb (0.250, 0.250, 0.750) [4 per cell]

Summary:
D(E_F) ... 10.2 states/eV/cell
Volume ... 325.9 Å³/cell
Final energy ... -4.68 eV per atom
E_form ... -469 meV per atom

3.
Density functional theory data (PBE) for crystalline Mg2Sc5Pd2Pb at its relaxed geometry.

a b c (Å): 11.337 11.337 3.559
angles (deg): 90.00 90.00 90.00
Space group P4/mbm (No. 127)
Inequivalent atoms, fractional coordinates:
Mg (0.172, 0.328, 0.000) [4 per cell]
Sc (0.000, 0.500, 0.500) [2 per cell]
Sc (0.072, 0.794, 0.500) [8 per cell]
Pd (0.128, 0.628, 0.000) [4 per cell]
Pb (0.000, 0.000, 0.000) [2 per cell]

Summary:
D(E_F) ... 18.4 states/eV/cell
Volume ... 457.4 Å³/cell
Final energy ... -5.33 eV per atom
E_form ... -436 meV per atom